KAlAuSe2: optimized geometry, GGA-PBEsol.

- Volume: 33.12 A^3/atom
- Energy relative to the elements, uncorrected: 5.609 eV/f.u.

Lattice parameters (Å, degrees): 5.462 5.507 5.507 90.00 90.00 90.00
Fractional positions:
Se: 0.000 0.000 0.500
K: 0.000 0.000 0.000
Al: 0.500 0.500 0.500
Se: 0.000 0.500 0.000
Au: 0.500 0.000 0.000



Mg2MnOs: optimized geometry, GGA-PBEsol.

- Energy above the most stable polymorph in this dataset: 0.0000 eV/atom
- ΔE_f: 0.313 eV/atom
- Volume: 15.28 A^3/atom

Lattice parameters (Å, degrees): 2.736 4.197 5.464 90.00 103.17 90.00
Fractional positions:
Mn: 0.476 0.000 0.530
Mg: 0.714 0.500 0.260
Mg: 0.013 0.000 0.985
Os: 0.297 0.500 0.724



CdGeO3: optimized geometry, GGA-PBEsol.

- Volume: 11.40 A^3/atom
- Energy relative to the elements, uncorrected: -7.410 eV/f.u.

Lattice parameters (Å, degrees): 5.130 5.130 5.812 63.81 63.81 60.00
Fractional positions:
O: 0.966 0.189 0.285
O: 0.439 0.034 0.715
Ge: 0.159 0.159 0.522
O: 0.034 0.811 0.715
Cd: 0.633 0.633 0.101
Cd: 0.367 0.367 0.899
Ge: 0.841 0.841 0.478
O: 0.189 0.561 0.285
O: 0.811 0.439 0.715
O: 0.561 0.966 0.285



YZrZn2: optimized geometry, GGA-PBEsol.

- ΔE_f: 0.052 eV/atom
- Volume: 21.15 A^3/atom

Lattice parameters (Å, degrees): 3.365 3.365 8.846 79.04 79.04 60.00
Fractional positions:
Zr: 0.489 0.489 0.532
Zn: 0.742 0.742 0.774
Zn: 0.012 0.012 0.963
Y: 0.257 0.257 0.230



TaCoNi2: optimized geometry, GGA-PBEsol.

- Energy above the most stable polymorph in this dataset: 0.0168 eV/atom
- ΔE_f: -0.348 eV/atom
- Volume: 11.75 A^3/atom

Lattice parameters (Å, degrees): 3.551 3.551 3.728 90.00 90.00 90.00
Fractional positions:
Ni: 0.000 0.500 0.000
Ta: 0.500 0.500 0.500
Ni: 0.500 0.000 0.000
Co: 0.000 0.000 0.500



K2PdC4S4N4: optimized geometry, GGA-PBEsol.

- Volume: 19.98 A^3/atom
- Energy relative to the elements, uncorrected: -1.802 eV/f.u.

Lattice parameters (Å, degrees): 4.219 11.069 12.959 90.00 90.00 97.93
Fractional positions:
S: 0.133 0.940 0.837
N: 0.816 0.629 0.067
S: 0.231 0.351 0.411
S: 0.769 0.149 0.911
C: 0.978 0.725 0.074
C: 0.222 0.299 0.657
N: 0.816 0.129 0.433
K: 0.288 0.967 0.359
S: 0.867 0.060 0.163
S: 0.867 0.560 0.337
N: 0.184 0.371 0.933
K: 0.712 0.033 0.641
C: 0.978 0.225 0.426
C: 0.222 0.799 0.843
N: 0.184 0.871 0.567
N: 0.716 0.302 0.157
N: 0.284 0.198 0.657
C: 0.022 0.275 0.926
K: 0.288 0.467 0.141
N: 0.284 0.698 0.843
N: 0.716 0.802 0.343
S: 0.133 0.440 0.663
C: 0.778 0.701 0.343
S: 0.231 0.851 0.089
K: 0.712 0.533 0.859
Pd: 0.000 0.000 0.000
C: 0.778 0.201 0.157
C: 0.022 0.775 0.574
S: 0.769 0.649 0.589
Pd: 0.000 0.500 0.500



YZn2Cu2: optimized geometry, GGA-PBEsol.

- ΔE_f: -0.212 eV/atom
- Volume: 16.30 A^3/atom

Lattice parameters (Å, degrees): 3.967 3.967 5.890 109.68 109.68 90.00
Fractional positions:
Zn: 0.383 0.383 0.766
Cu: 0.750 0.250 0.500
Cu: 0.250 0.750 0.500
Y: 0.000 0.000 0.000
Zn: 0.617 0.617 0.234



Sb3PdC: optimized geometry, GGA-PBEsol.

- Volume: 26.50 A^3/atom
- Energy relative to the elements, uncorrected: 8.472 eV/f.u.

Lattice parameters (Å, degrees): 5.098 5.098 5.098 90.00 90.00 90.00
Fractional positions:
Pd: 0.000 0.000 0.000
Sb: 0.000 0.000 0.500
Sb: 0.000 0.500 0.000
Sb: 0.500 0.000 0.000
C: 0.500 0.500 0.500